Material: LiVPH4O7
Method: DFT, PBE with a Hubbard U
State: optimized geometry

Results
raw total energy = -6.1858 eV/atom
calculated volume = 534 Å³/cell

Geometry as POSCAR:
```
LiVPH4O7
1.0
4.5575 -4.5669 0.0000
4.5575 4.5669 0.0000
0.0000 0.0000 12.8395
Li V P H O
4 4 4 16 28
Direct
0.1183 0.8817 0.9336 Li
0.3817 0.6183 0.4336 Li
0.6183 0.3817 0.5664 Li
0.8817 0.1183 0.0664 Li
0.1205 0.8795 0.2921 V
0.3795 0.6205 0.7921 V
0.6205 0.3795 0.2079 V
0.8795 0.1205 0.7079 V
0.1241 0.3759 0.2500 P
0.3759 0.1241 0.7500 P
0.6241 0.8759 0.2500 P
0.8759 0.6241 0.7500 P
0.0650 0.7681 0.5365 H
0.2149 0.2436 0.9384 H
0.2319 0.9350 0.5365 H
0.2436 0.2149 0.0616 H
0.2564 0.2851 0.5616 H
0.2681 0.5650 0.0365 H
0.2851 0.2564 0.4384 H
0.4350 0.7319 0.0365 H
0.5650 0.2681 0.9635 H
0.7149 0.7436 0.5616 H
0.7319 0.4350 0.9635 H
0.7436 0.7149 0.4384 H
0.7564 0.7851 0.9384 H
0.7681 0.0650 0.4635 H
0.7851 0.7564 0.0616 H
0.9350 0.2319 0.4635 H
0.0711 0.6328 0.8196 O
0.1025 0.8975 0.1660 O
0.1296 0.1887 0.3277 O
0.1328 0.5711 0.3196 O
0.1656 0.1656 0.0000 O
0.1691 0.8309 0.4904 O
0.1887 0.1296 0.6723 O
0.3113 0.3704 0.1723 O
0.3309 0.6691 0.9904 O
0.3344 0.3344 0.5000 O
0.3672 0.9289 0.8196 O
0.3704 0.3113 0.8277 O
0.3975 0.6025 0.6660 O
0.4289 0.8672 0.3196 O
0.5711 0.1328 0.6804 O
0.6025 0.3975 0.3340 O
0.6296 0.6887 0.1723 O
0.6328 0.0711 0.1804 O
0.6656 0.6656 0.5000 O
0.6691 0.3309 0.0096 O
0.6887 0.6296 0.8277 O
0.8113 0.8704 0.3277 O
0.8309 0.1691 0.5096 O
0.8344 0.8344 0.0000 O
0.8672 0.4289 0.6804 O
0.8704 0.8113 0.6723 O
0.8975 0.1025 0.8340 O
0.9289 0.3672 0.1804 O
```